# La2Nd15Er2

A relaxed structure of La2Nd15Er2 (PBE, the Alexandria database).

The structure in POSCAR format:
```
La2Nd15Er2
1.0
5.7498 3.3196 6.0320
-5.7498 3.3196 6.0320
0.0000 -6.6393 6.0320
La Nd Er
2 15 2
Direct
0.1782 0.1782 0.1782
0.8218 0.8218 0.8218
0.0000 0.5000 0.5000
0.1300 0.1300 0.6511
0.1300 0.6511 0.1300
0.2066 0.5000 0.7934
0.2066 0.7934 0.5000
0.3489 0.8700 0.8700
0.5000 0.0000 0.5000
0.5000 0.2066 0.7934
0.5000 0.5000 0.0000
0.5000 0.7934 0.2066
0.6511 0.1300 0.1300
0.7934 0.2066 0.5000
0.7934 0.5000 0.2066
0.8700 0.3489 0.8700
0.8700 0.8700 0.3489
0.4063 0.4063 0.4063
0.5937 0.5937 0.5937
```

**DFT formation energy**: 5.39 kcal/mol of atoms
**Uncorrected energy**: -4.5293 eV per atom
**Size of the total moment**: 0.01 μB per formula unit

# LaNd12Er6

A relaxed structure of LaNd12Er6 (PBE, the Alexandria database).

The structure in POSCAR format:
```
LaNd12Er6
1.0
6.7664 3.9066 4.2108
-6.7664 3.9066 4.2108
0.0000 -7.8132 4.2108
La Nd Er
1 12 6
Direct
0.0000 0.0000 0.0000
0.0806 0.3531 0.3531
0.2414 0.5000 0.7586
0.2414 0.7586 0.5000
0.3531 0.0806 0.3531
0.3531 0.3531 0.0806
0.5000 0.2414 0.7586
0.5000 0.7586 0.2414
0.6469 0.6469 0.9194
0.6469 0.9194 0.6469
0.7586 0.2414 0.5000
0.7586 0.5000 0.2414
0.9194 0.6469 0.6469
0.1009 0.1009 0.6624
0.1009 0.6624 0.1009
0.3376 0.8991 0.8991
0.6624 0.1009 0.1009
0.8991 0.3376 0.8991
0.8991 0.8991 0.3376
```

**Relative energy among the computed polymorphs**: 57 meV per atom
**DFT formation energy**: 4.31 kcal/mol of atoms
**Uncorrected energy**: -4.5245 eV per atom
**Size of the total moment**: 0.03 μB per formula unit

# LaNdEr3

A relaxed structure of LaNdEr3 (PBE, the Alexandria database).

The structure in POSCAR format:
```
LaNdEr3
1.0
6.6124 0.0000 0.0000
0.6177 6.6994 0.0000
2.4566 1.9836 7.5268
La Nd Er
2 2 6
Direct
0.0982 0.2939 0.1423
0.9018 0.7061 0.8577
0.1145 0.2480 0.6666
0.8855 0.7520 0.3334
0.3246 0.8443 0.9927
0.3365 0.9143 0.4036
0.4896 0.5405 0.7095
0.5104 0.4595 0.2905
0.6635 0.0857 0.5964
0.6754 0.1557 0.0073
```

**Relative energy among the computed polymorphs**: 0 meV per atom
**DFT formation energy**: 1.72 kcal/mol of atoms
**Uncorrected energy**: -4.6022 eV per atom
**Size of the total moment**: 0.00 μB per formula unit